# PrBr2Cl

A relaxed PrBr2Cl crystal (PBE-GGA, OQMD).

a b c (Å): 7.8216 4.3718 7.9844
angles (deg): 90.00 119.14 90.00
Closest atoms and distances in Å follow each position.
Atoms (fractional coordinates):
Br1 0.6970 0.0000 0.0856  3 Pr 3.07-3.19
Br2 0.0898 0.5000 0.3813  3 Pr 3.05-3.17
Br3 0.6204 0.5000 0.7059  3 Pr 3.07-3.12
Br4 0.2845 0.5000 0.9132  3 Pr 3.07-3.25
Cl1 0.4085 0.0000 0.3194  3 Pr 2.92-3.12
Cl2 0.9074 0.0000 0.5900  3 Pr 2.95-3.04
Pr1 0.6649 0.5000 0.3388  4 Cl 2.92-2.95, 5 Br 3.07-3.25
Pr2 0.3276 0.0000 0.6658  2 Cl 3.04-3.12, 7 Br 3.05-3.19

crystal system: monoclinic
final energy: -4.509 eV per atom
space group: Pm